Version P
## BeVSe3 (PBE)

Data for BeVSe3 after structural relaxation.

**DOS(E_F)**: 3.218 states/eV per cell

CIF file:
```
data_BeVSe3
_symmetry_space_group_name_H-M 'P m -3 m'
_symmetry_Int_Tables_number 221
_symmetry_space_group_name_Hall '-P 4 2 3'
_cell_length_a 4.558
_cell_length_b 4.558
_cell_length_c 4.558
_cell_angle_alpha 90.00
_cell_angle_beta 90.00
_cell_angle_gamma 90.00
loop_
_atom_site_label
_atom_site_type_symbol
_atom_site_fract_x
_atom_site_fract_y
_atom_site_fract_z
Be1 Be 0.000 0.000 0.000
V1 V 0.500 0.500 0.500
Se1 Se 0.000 0.000 0.500
```

Version Q
## BeVSe3 (PBE)

Data for BeVSe3 after structural relaxation.

**DOS(E_F)**: 4.055 states/eV per cell

CIF file:
```
data_BeVSe3
_symmetry_space_group_name_H-M 'P m -3 m'
_symmetry_Int_Tables_number 221
_symmetry_space_group_name_Hall '-P 4 2 3'
_cell_length_a 4.805
_cell_length_b 4.805
_cell_length_c 4.805
_cell_angle_alpha 90.00
_cell_angle_beta 90.00
_cell_angle_gamma 90.00
loop_
_atom_site_label
_atom_site_type_symbol
_atom_site_fract_x
_atom_site_fract_y
_atom_site_fract_z
Be1 Be 0.000 0.000 0.000
V1 V 0.500 0.500 0.500
Se1 Se 0.000 0.500 0.500
```

Most stable pick: version P. Distance to second place: 0.114 eV/atom.

Version P
## BeV2Se2 (PBE)

Data for BeV2Se2 after structural relaxation.

**DOS(E_F)**: 7.827 states/eV per cell

CIF file:
```
data_BeV2Se2
_symmetry_space_group_name_H-M 'I 4/m m m'
_symmetry_Int_Tables_number 139
_symmetry_space_group_name_Hall '-I 4 2'
_cell_length_a 4.865
_cell_length_b 4.865
_cell_length_c 7.000
_cell_angle_alpha 90.00
_cell_angle_beta 90.00
_cell_angle_gamma 90.00
loop_
_atom_site_label
_atom_site_type_symbol
_atom_site_fract_x
_atom_site_fract_y
_atom_site_fract_z
Be1 Be 0.000 0.000 0.000
V1 V 0.000 0.000 0.358
Se1 Se 0.000 0.500 0.250
```

Version Q
## BeV2Se2 (PBE)

Data for BeV2Se2 after structural relaxation.

**DOS(E_F)**: 8.030 states/eV per cell

CIF file:
```
data_BeV2Se2
_symmetry_space_group_name_H-M 'P 4/m b m'
_symmetry_Int_Tables_number 127
_symmetry_space_group_name_Hall '-P 4 2ab'
_cell_length_a 6.597
_cell_length_b 6.597
_cell_length_c 3.377
_cell_angle_alpha 90.00
_cell_angle_beta 90.00
_cell_angle_gamma 90.00
loop_
_atom_site_label
_atom_site_type_symbol
_atom_site_fract_x
_atom_site_fract_y
_atom_site_fract_z
Be1 Be 0.000 0.000 0.000
V1 V 0.141 0.359 0.000
Se1 Se 0.157 0.657 0.500
```

Most stable pick: version Q. Distance to second place: 0.217 eV/atom.

Version P
## Be3WSe (PBE)

Data for Be3WSe after structural relaxation.

**DOS(E_F)**: 3.766 states/eV per cell

CIF file:
```
data_Be3WSe
_symmetry_space_group_name_H-M 'P m -3 m'
_symmetry_Int_Tables_number 221
_symmetry_space_group_name_Hall '-P 4 2 3'
_cell_length_a 4.159
_cell_length_b 4.159
_cell_length_c 4.159
_cell_angle_alpha 90.00
_cell_angle_beta 90.00
_cell_angle_gamma 90.00
loop_
_atom_site_label
_atom_site_type_symbol
_atom_site_fract_x
_atom_site_fract_y
_atom_site_fract_z
Be1 Be 0.000 0.000 0.500
W1 W 0.500 0.500 0.500
Se1 Se 0.000 0.000 0.000
```

Version Q
## Be3WSe (PBE)

Data for Be3WSe after structural relaxation.

**DOS(E_F)**: 3.612 states/eV per cell

CIF file:
```
data_Be3WSe
_symmetry_space_group_name_H-M 'P m -3 m'
_symmetry_Int_Tables_number 221
_symmetry_space_group_name_Hall '-P 4 2 3'
_cell_length_a 4.401
_cell_length_b 4.401
_cell_length_c 4.401
_cell_angle_alpha 90.00
_cell_angle_beta 90.00
_cell_angle_gamma 90.00
loop_
_atom_site_label
_atom_site_type_symbol
_atom_site_fract_x
_atom_site_fract_y
_atom_site_fract_z
Be1 Be 0.000 0.000 0.500
W1 W 0.000 0.000 0.000
Se1 Se 0.500 0.500 0.500
```

Most stable pick: version P. Distance to second place: 0.139 eV/atom.

Version P
## Y2BeSe (PBE)

Data for Y2BeSe after structural relaxation.

**DOS(E_F)**: 10.620 states/eV per cell

CIF file:
```
data_Y2BeSe
_symmetry_space_group_name_H-M 'F m -3 m'
_symmetry_Int_Tables_number 225
_symmetry_space_group_name_Hall '-F 4 2 3'
_cell_length_a 7.044
_cell_length_b 7.044
_cell_length_c 7.044
_cell_angle_alpha 90.00
_cell_angle_beta 90.00
_cell_angle_gamma 90.00
loop_
_atom_site_label
_atom_site_type_symbol
_atom_site_fract_x
_atom_site_fract_y
_atom_site_fract_z
Y1 Y 0.250 0.250 0.250
Be1 Be 0.000 0.000 0.000
Se1 Se 0.000 0.000 0.500
```

Version Q
## Y2BeSe (PBE)

Data for Y2BeSe after structural relaxation.

**DOS(E_F)**: 6.022 states/eV per cell

CIF file:
```
data_Y2BeSe
_symmetry_space_group_name_H-M 'C 1 2/m 1'
_symmetry_Int_Tables_number 12
_cell_length_a 6.686
_cell_length_b 7.571
_cell_length_c 3.418
_cell_angle_alpha 90.00
_cell_angle_beta 90.68
_cell_angle_gamma 90.00
loop_
_symmetry_equiv_pos_as_xyz
'x,y,z'
'-x,-y,-z'
'-x,y,-z'
'x,-y,z'
'x+1/2,y+1/2,z'
'-x+1/2,-y+1/2,-z'
'-x+1/2,y+1/2,-z'
'x+1/2,-y+1/2,z'
loop_
_atom_site_label
_atom_site_type_symbol
_atom_site_fract_x
_atom_site_fract_y
_atom_site_fract_z
Y1 Y 0.250 0.250 0.000
Be1 Be 0.000 0.000 0.500
Se1 Se 0.000 0.500 0.500
```

Most stable pick: version Q. Distance to second place: 0.113 eV/atom.

Version P
## YBe2Se2 (PBE)

Data for YBe2Se2 after structural relaxation.

**DOS(E_F)**: 9.310 states/eV per cell

CIF file:
```
data_YBe2Se2
_symmetry_space_group_name_H-M 'P 4/m b m'
_symmetry_Int_Tables_number 127
_symmetry_space_group_name_Hall '-P 4 2ab'
_cell_length_a 7.378
_cell_length_b 7.378
_cell_length_c 3.481
_cell_angle_alpha 90.00
_cell_angle_beta 90.00
_cell_angle_gamma 90.00
loop_
_atom_site_label
_atom_site_type_symbol
_atom_site_fract_x
_atom_site_fract_y
_atom_site_fract_z
Y1 Y 0.000 0.000 0.000
Be1 Be 0.098 0.402 0.000
Se1 Se 0.228 0.272 0.500
```

Version Q
## YBe2Se2 (PBE)

Data for YBe2Se2 after structural relaxation.

**DOS(E_F)**: 3.985 states/eV per cell

CIF file:
```
data_YBe2Se2
_symmetry_space_group_name_H-M 'I 4/m m m'
_symmetry_Int_Tables_number 139
_symmetry_space_group_name_Hall '-I 4 2'
_cell_length_a 4.634
_cell_length_b 4.634
_cell_length_c 8.054
_cell_angle_alpha 90.00
_cell_angle_beta 90.00
_cell_angle_gamma 90.00
loop_
_atom_site_label
_atom_site_type_symbol
_atom_site_fract_x
_atom_site_fract_y
_atom_site_fract_z
Y1 Y 0.000 0.000 0.000
Be1 Be 0.000 0.000 0.363
Se1 Se 0.000 0.500 0.250
```

Most stable pick: version Q. Distance to second place: 0.064 eV/atom.

Version P
## BeZn2Se (PBE)

Data for BeZn2Se after structural relaxation.

**DOS(E_F)**: 2.254 states/eV per cell

CIF file:
```
data_BeZn2Se
_symmetry_space_group_name_H-M 'C m m m'
_symmetry_Int_Tables_number 65
_symmetry_space_group_name_Hall '-C 2 2'
_cell_length_a 4.802
_cell_length_b 7.742
_cell_length_c 3.568
_cell_angle_alpha 90.00
_cell_angle_beta 90.00
_cell_angle_gamma 90.00
loop_
_atom_site_label
_atom_site_type_symbol
_atom_site_fract_x
_atom_site_fract_y
_atom_site_fract_z
Be1 Be 0.000 0.000 0.000
Zn1 Zn 0.250 0.250 0.500
Se1 Se 0.000 0.500 0.000
```

Version Q
## BeZn2Se (PBE)

Data for BeZn2Se after structural relaxation.

**DOS(E_F)**: 2.113 states/eV per cell

CIF file:
```
data_BeZn2Se
_symmetry_space_group_name_H-M 'C 1 2/m 1'
_symmetry_Int_Tables_number 12
_cell_length_a 11.988
_cell_length_b 2.553
_cell_length_c 4.529
_cell_angle_alpha 90.00
_cell_angle_beta 108.29
_cell_angle_gamma 90.00
loop_
_symmetry_equiv_pos_as_xyz
'x,y,z'
'-x,-y,-z'
'-x,y,-z'
'x,-y,z'
'x+1/2,y+1/2,z'
'-x+1/2,-y+1/2,-z'
'-x+1/2,y+1/2,-z'
'x+1/2,-y+1/2,z'
loop_
_atom_site_label
_atom_site_type_symbol
_atom_site_fract_x
_atom_site_fract_y
_atom_site_fract_z
Be1 Be 0.000 0.000 0.000
Zn1 Zn 0.190 0.500 0.215
Se1 Se 0.000 0.500 0.500
```

Most stable pick: version P. Distance to second place: 0.007 eV/atom.

Version P
## BeZn2Se (PBE)

Data for BeZn2Se after structural relaxation.

**DOS(E_F)**: 2.972 states/eV per cell

CIF file:
```
data_BeZn2Se
_symmetry_space_group_name_H-M 'I m m 2'
_symmetry_Int_Tables_number 44
_cell_length_a 3.321
_cell_length_b 6.150
_cell_length_c 7.621
_cell_angle_alpha 90.00
_cell_angle_beta 90.00
_cell_angle_gamma 90.00
loop_
_symmetry_equiv_pos_as_xyz
'x,y,z'
'-x,-y,z'
'-x,y,z'
'x,-y,z'
'x+1/2,y+1/2,z+1/2'
'-x+1/2,-y+1/2,z+1/2'
'-x+1/2,y+1/2,z+1/2'
'x+1/2,-y+1/2,z+1/2'
loop_
_atom_site_label
_atom_site_type_symbol
_atom_site_fract_x
_atom_site_fract_y
_atom_site_fract_z
Be1 Be 0.000 0.000 0.000
Zn1 Zn 0.000 0.000 0.491
Zn2 Zn 0.000 0.500 0.255
Se1 Se 0.000 0.500 0.676
```

Version Q
## BeZn2Se (PBE)

Data for BeZn2Se after structural relaxation.

**DOS(E_F)**: 3.569 states/eV per cell

CIF file:
```
data_BeZn2Se
_symmetry_space_group_name_H-M 'C m m 2'
_symmetry_Int_Tables_number 35
_cell_length_a 3.475
_cell_length_b 5.466
_cell_length_c 7.544
_cell_angle_alpha 90.00
_cell_angle_beta 90.00
_cell_angle_gamma 90.00
loop_
_symmetry_equiv_pos_as_xyz
'x,y,z'
'-x,-y,z'
'-x,y,z'
'x,-y,z'
'x+1/2,y+1/2,z'
'-x+1/2,-y+1/2,z'
'-x+1/2,y+1/2,z'
'x+1/2,-y+1/2,z'
loop_
_atom_site_label
_atom_site_type_symbol
_atom_site_fract_x
_atom_site_fract_y
_atom_site_fract_z
Be1 Be 0.000 0.000 0.000
Zn1 Zn 0.000 0.000 0.499
Zn2 Zn 0.000 0.500 0.238
Se1 Se 0.000 0.500 0.833
```

Most stable pick: version P. Distance to second place: 0.020 eV/atom.

Version P
## BeZn2Se (PBE)

Data for BeZn2Se after structural relaxation.

**DOS(E_F)**: 0.894 states/eV per cell

CIF file:
```
data_BeZn2Se
_symmetry_space_group_name_H-M 'P 4/m m m'
_symmetry_Int_Tables_number 123
_symmetry_space_group_name_Hall '-P 4 2'
_cell_length_a 3.459
_cell_length_b 3.459
_cell_length_c 5.968
_cell_angle_alpha 90.00
_cell_angle_beta 90.00
_cell_angle_gamma 90.00
loop_
_atom_site_label
_atom_site_type_symbol
_atom_site_fract_x
_atom_site_fract_y
_atom_site_fract_z
Be1 Be 0.000 0.000 0.000
Zn1 Zn 0.000 0.500 0.500
Se1 Se 0.500 0.500 0.000
```

Version Q
## BeZn2Se (PBE)

Data for BeZn2Se after structural relaxation.

**DOS(E_F)**: 0.838 states/eV per cell

CIF file:
```
data_BeZn2Se
_symmetry_space_group_name_H-M 'P m m m'
_symmetry_Int_Tables_number 47
_cell_length_a 2.722
_cell_length_b 2.958
_cell_length_c 7.704
_cell_angle_alpha 90.00
_cell_angle_beta 90.00
_cell_angle_gamma 90.00
loop_
_symmetry_equiv_pos_as_xyz
'x,y,z'
'-x,-y,-z'
'-x,-y,z'
'x,y,-z'
'x,-y,-z'
'-x,y,z'
'-x,y,-z'
'x,-y,z'
loop_
_atom_site_label
_atom_site_type_symbol
_atom_site_fract_x
_atom_site_fract_y
_atom_site_fract_z
Be1 Be 0.000 0.000 0.000
Zn1 Zn 0.500 0.500 0.190
Se1 Se 0.500 0.000 0.500
```

Version R
## BeZn2Se (PBE)

Data for BeZn2Se after structural relaxation.

**DOS(E_F)**: 1.743 states/eV per cell

CIF file:
```
data_BeZn2Se
_symmetry_space_group_name_H-M 'P 4/m m m'
_symmetry_Int_Tables_number 123
_symmetry_space_group_name_Hall '-P 4 2'
_cell_length_a 2.804
_cell_length_b 2.804
_cell_length_c 8.050
_cell_angle_alpha 90.00
_cell_angle_beta 90.00
_cell_angle_gamma 90.00
loop_
_atom_site_label
_atom_site_type_symbol
_atom_site_fract_x
_atom_site_fract_y
_atom_site_fract_z
Be1 Be 0.000 0.000 0.000
Zn1 Zn 0.500 0.500 0.178
Se1 Se 0.000 0.000 0.500
```

Most stable pick: version Q. Distance to second place: 0.073 eV/atom.